1.
Computed, not measured: a PBEsol-optimized structure of Ca2ScCr at the SCAN level of DFT.

Values from the calculation:
DFT formation energy: 0.36 eV/atom
DOS(E_F): 8.74 states/eV/cell
distance to the lowest polymorph of the same formula: 171 meV per atom
energy: -12.6265 eV/atom
SG: I4/mmm

a b c (Å): 4.6296 4.6296 10.1252
angles (deg): 90.00 90.00 90.00
Last column: nearest neighbours and their distance in Å.
Fractional positions:
Ca: 0.0000 0.5000 0.2500  4 Ca 3.27, 4 Cr 3.43, 4 Sc 3.43
Ca: 0.0000 0.5000 0.7500  4 Ca 3.27, 4 Cr 3.43, 4 Sc 3.43
Ca: 0.5000 0.0000 0.2500  4 Ca 3.27, 4 Cr 3.43, 4 Sc 3.43
Ca: 0.5000 0.0000 0.7500  4 Ca 3.27, 4 Cr 3.43, 4 Sc 3.43
Sc: 0.0000 0.0000 0.0000  4 Cr 3.27, 8 Ca 3.43
Sc: 0.5000 0.5000 0.5000  4 Cr 3.27, 8 Ca 3.43
Cr: 0.0000 0.0000 0.5000  4 Sc 3.27, 8 Ca 3.43
Cr: 0.5000 0.5000 0.0000  4 Sc 3.27, 8 Ca 3.43



2.
Computed, not measured: a PBEsol-optimized structure of Li2MgZrCu at the SCAN level of DFT.

Values from the calculation:
DFT formation energy: 1.05 eV/atom
DOS(E_F): 2.56 states/eV/cell
energy: -10.0778 eV/atom
SG: P4/mmm

a b c (Å): 5.0814 5.0814 4.7531
angles (deg): 90.00 90.00 90.00
Last column: nearest neighbours and their distance in Å.
Fractional positions:
Li: 0.0000 0.5000 0.0000  2 Zr 2.54
Li: 0.5000 0.0000 0.0000  2 Zr 2.54
Mg: 0.0000 0.0000 0.5000  8 Li 3.48, 4 Cu 3.59
Zr: 0.5000 0.5000 0.0000  2 Cu 2.38, 4 Li 2.54
Cu: 0.5000 0.5000 0.5000  2 Zr 2.38



3.
Computed, not measured: a PBEsol-optimized structure of Ca2HoF7 at the SCAN level of DFT.

Values from the calculation:
E_form (uncorrected): -4.22 eV per atom
DOS(E_F): 0.00 states/eV/cell
energy: -13.5314 eV/atom
SG: P3m1

a b c (Å): 3.8239 3.8239 9.6175
angles (deg): 90.00 90.00 120.00
Last column: nearest neighbours and their distance in Å.
Fractional positions:
Ca: 0.0000 0.0000 0.0000  8 F 2.23-2.40
Ca: 0.3333 0.6667 0.6705  7 F 2.34-2.40
Ho: 0.6667 0.3333 0.3466  8 F 2.21-2.47
F: 0.0000 0.0000 0.2316  1 Ca 2.23, 1 F 2.32, 3 Ho 2.47
F: 0.0000 0.0000 0.4730  7 F 2.32-2.48, 3 Ho 2.52
F: 0.0000 0.0000 0.7607  4 Ca 2.30-2.37
F: 0.3333 0.6667 0.3565  3 Ho 2.21
F: 0.3333 0.6667 0.9201  4 Ca 2.34-2.40
F: 0.6667 0.3333 0.0977  1 Ho 2.39, 3 Ca 2.40, 3 F 2.56
F: 0.6667 0.3333 0.5907  3 Ca 2.34, 1 Ho 2.35, 3 F 2.48